# GGA-PBE SrNd5S6, optimized geometry
# * calculated volume: 24.3 Å³/atom
# * total magnetization: 0.00 μB per cell
# * energy relative to the elements, uncorrected: -2.03 eV per atom
# * total energy: -6.217 eV per atom
data_SrNd5S6
_cell_length_a 7.1029
_cell_length_b 7.0799
_cell_length_c 7.0938
_cell_angle_alpha 60.06
_cell_angle_beta 80.45
_cell_angle_gamma 70.57
_space_group_name_H-M_alt 'P 1'
_space_group_IT_number 1
loop_
_space_group_symop_operation_xyz
'x,y,z'
loop_
_atom_site_label
_atom_site_fract_x
_atom_site_fract_y
_atom_site_fract_z
Sr1 0.0000 0.0000 0.0000
Nd1 0.5000 0.1651 0.6699
Nd2 0.0000 0.3328 0.3345
Nd3 0.5000 0.5000 0.0000
Nd4 0.0000 0.6672 0.6655
Nd5 0.5000 0.8349 0.3301
S1 0.7465 0.0847 0.3357
S2 0.2535 0.5796 0.3357
S3 0.2496 0.2527 0.0000
S4 0.7504 0.7473 0.0000
S5 0.7465 0.4204 0.6643
S6 0.2535 0.9153 0.6643

# GGA-PBE Dy4Er5Hg, optimized geometry
# * calculated volume: 29.9 Å³/atom
# * total magnetization: 0.00 μB per cell
# * formation enthalpy at 0 K: -7.5 kJ per mole of atoms
# * total energy: -4.231 eV per atom
data_Dy4Er5Hg
_cell_length_a 3.5340
_cell_length_b 3.5340
_cell_length_c 23.9287
_cell_angle_alpha 90.00
_cell_angle_beta 90.00
_cell_angle_gamma 90.00
_space_group_name_H-M_alt 'P 1'
_space_group_IT_number 1
loop_
_space_group_symop_operation_xyz
'x,y,z'
loop_
_atom_site_label
_atom_site_fract_x
_atom_site_fract_y
_atom_site_fract_z
Dy1 0.0000 0.0000 0.1882
Dy2 0.0000 0.0000 0.3961
Dy3 0.0000 0.0000 0.6039
Dy4 0.0000 0.0000 0.8118
Er1 0.5000 0.5000 0.0838
Er2 0.5000 0.5000 0.2918
Er3 0.5000 0.5000 0.5000
Er4 0.5000 0.5000 0.7082
Er5 0.5000 0.5000 0.9162
Hg1 0.0000 0.0000 0.0000

# GGA-PBE BaNaTl4In2, optimized geometry
# * calculated volume: 30.6 Å³/atom
# * total magnetization: 0.00 μB per cell
# * formation enthalpy at 0 K: -19.5 kJ per mole of atoms
# * total energy: -2.476 eV per atom
data_BaNaTl4In2
_cell_length_a 5.3486
_cell_length_b 5.3486
_cell_length_c 10.3496
_cell_angle_alpha 75.03
_cell_angle_beta 75.03
_cell_angle_gamma 60.00
_space_group_name_H-M_alt 'P 1'
_space_group_IT_number 1
loop_
_space_group_symop_operation_xyz
'x,y,z'
loop_
_atom_site_label
_atom_site_fract_x
_atom_site_fract_y
_atom_site_fract_z
Ba1 0.0000 0.0000 0.0000
Na1 0.5000 0.5000 0.5000
Tl1 0.3909 0.3909 0.8273
Tl2 0.8689 0.8689 0.3933
Tl3 0.1311 0.1311 0.6067
Tl4 0.6091 0.6091 0.1727
In1 0.7535 0.7535 0.7394
In2 0.2465 0.2465 0.2606

# GGA-PBE KNiPt4, optimized geometry
# * calculated volume: 18.2 Å³/atom
# * total magnetization: 0.97 μB per cell
# * formation enthalpy at 0 K: 19.2 kJ per mole of atoms
# * total energy: -4.975 eV per atom
data_KNiPt4
_cell_length_a 5.3696
_cell_length_b 5.3696
_cell_length_c 5.3696
_cell_angle_alpha 60.00
_cell_angle_beta 60.00
_cell_angle_gamma 60.00
_space_group_name_H-M_alt 'P 1'
_space_group_IT_number 1
loop_
_space_group_symop_operation_xyz
'x,y,z'
loop_
_atom_site_label
_atom_site_fract_x
_atom_site_fract_y
_atom_site_fract_z
K1 0.7500 0.7500 0.7500
Ni1 0.0000 0.0000 0.0000
Pt1 0.8762 0.3746 0.3746
Pt2 0.3746 0.3746 0.8762
Pt3 0.3746 0.8762 0.3746
Pt4 0.3746 0.3746 0.3746

What is the total magnetization in the first record? 0.00 μB per cell

Which formula does entry 2 have? Dy4Er5Hg

The lowest calculated volume belongs to which entry? KNiPt4